Entry 1:
Density functional theory data (GGA-PBE) for an optimized crystal structure of Ag2PRu.

Cell lengths 2.914, 3.677, 12.733 Å; angles 90.00, 90.00, 90.00 degrees
Space group Immm (No. 71)
One atom of each set of equivalent atoms:
Ag1 0.000 0.000 0.184 x4
P1 0.000 0.500 0.500 x2
Ru1 0.000 0.500 0.000 x2

Polymorph energy (0 for the lowest one) (eV per formula unit): 0.82
DFT formation energy (eV per atom): 0.1586
N(E_F) (states/eV per cell): 3.814

Entry 2:
Density functional theory data (GGA-PBE) for an optimized crystal structure of SrFe2Br.

Cell lengths 5.614, 10.344, 3.476 Å; angles 90.00, 90.00, 90.00 degrees
Space group Cmmm (No. 65)
One atom of each set of equivalent atoms:
Sr1 0.000 0.000 0.000 x2
Fe1 0.250 0.250 0.500 x4
Br1 0.000 0.500 0.000 x2

ΔE_f (raw) (eV/f.u.): 2.53
Polymorph energy (0 for the lowest one) (eV per formula unit): 2.38
N(E_F) (states/eV per cell): 7.466

Entry 3:
Density functional theory data (GGA-PBE) for an optimized crystal structure of Ac3SmBi4.

Cell lengths 9.610, 13.579, 4.807 Å; angles 90.00, 90.00, 90.00 degrees
Space group Cmmm (No. 65)
One atom of each set of equivalent atoms:
Ac1 0.000 0.000 0.000 x2
Ac2 0.250 0.250 0.500 x4
Sm1 0.000 0.500 0.000 x2
Bi1 0.000 0.256 0.000 x4
Bi2 0.238 0.500 0.500 x4

Polymorph energy (0 for the lowest one) (eV per formula unit): 0.00
DFT formation energy (eV per atom): -0.9674
N(E_F) (states/eV per cell): 1.674

Entry 4:
Density functional theory data (GGA-PBE) for an optimized crystal structure of K8Au.

Cell lengths 15.568, 15.568, 4.630 Å; angles 90.00, 90.00, 90.00 degrees
Space group I4/mmm (No. 139)
One atom of each set of equivalent atoms:
K1 0.000 0.333 0.000 x8
K2 0.127 0.127 0.500 x8
Au1 0.000 0.000 0.000 x2

DFT formation energy (eV per atom): -0.0259
N(E_F) (states/eV per cell): 10.950